[1]
Density functional theory data (PBE) for a geometry-optimized SrMgSnCl6 structure.

Structure (POSCAR):
```
SrMgSnCl6
1.0
6.4978 0.0000 0.0000
0.0000 6.4978 0.0000
0.0000 0.0000 12.5709
Sr Mg Sn Cl
2 2 2 12
direct
0.0000 0.0000 0.0000 Sr
0.5000 0.5000 0.5000 Sr
0.0000 0.0000 0.6659 Mg
0.5000 0.5000 0.1659 Mg
0.0000 0.0000 0.3319 Sn
0.5000 0.5000 0.8319 Sn
0.1841 0.1841 0.5158 Cl
0.1879 0.1879 0.8138 Cl
0.2180 0.2180 0.1675 Cl
0.2820 0.7180 0.6675 Cl
0.3121 0.6879 0.3138 Cl
0.3159 0.6841 0.0158 Cl
0.6841 0.3159 0.0158 Cl
0.6879 0.3121 0.3138 Cl
0.7180 0.2820 0.6675 Cl
0.7820 0.7820 0.1675 Cl
0.8121 0.8121 0.8138 Cl
0.8159 0.8159 0.5158 Cl
```

Calculated values
Crystal system: tetragonal
Magnetic moment (μB per formula unit): 0.00
Symmetry: P4_2nm, No. 102
Final energy (eV per atom): -3.783

***

[2]
Density functional theory data (PBE) for a geometry-optimized Hf2GaBiIr structure.

Structure (POSCAR):
```
Hf2GaBiIr
1.0
5.0982 0.0000 0.0000
0.0000 5.0982 0.0000
0.0000 0.0000 4.7408
Hf Ga Bi Ir
2 1 1 1
direct
0.0000 0.5000 0.0000 Hf
0.5000 0.0000 0.0000 Hf
0.0000 0.0000 0.5000 Ga
0.5000 0.5000 0.5000 Bi
0.0000 0.0000 0.0000 Ir
```

Calculated values
Crystal system: tetragonal
Magnetic moment (μB per formula unit): 0.00
Symmetry: P4/mmm, No. 123
Final energy (eV per atom): -7.242

***

[3]
Density functional theory data (PBE) for a geometry-optimized RbMg6BO7 structure.

Structure (POSCAR):
```
RbMg6BO7
1.0
4.0453 0.0000 0.0000
0.0000 4.0453 0.0000
0.0000 0.0000 13.1373
Rb Mg B O
1 6 1 7
direct
0.0000 0.0000 0.0000 Rb
0.0000 0.0000 0.5166 Mg
0.0000 0.5000 0.3148 Mg
0.0000 0.5000 0.7189 Mg
0.5000 0.0000 0.3148 Mg
0.5000 0.0000 0.7189 Mg
0.5000 0.5000 0.4750 Mg
0.5000 0.5000 0.8456 B
0.0000 0.0000 0.6698 O
0.0000 0.5000 0.4840 O
0.0000 0.5000 0.8668 O
0.5000 0.0000 0.4840 O
0.5000 0.0000 0.8668 O
0.5000 0.5000 0.3151 O
0.5000 0.5000 0.7359 O
```

Calculated values
Crystal system: tetragonal
Magnetic moment (μB per formula unit): 0.00
Symmetry: P4mm, No. 99
Final energy (eV per atom): -5.289
Distance to the lowest polymorph of the same formula (eV per atom): 0.000

***

[4]
Density functional theory data (PBE) for a geometry-optimized Rb2Tm2BiS6 structure.

Structure (POSCAR):
```
Rb2Tm2BiS6
1.0
3.4421 -5.9864 0.0000
3.4421 5.9864 0.0000
-2.2623 0.0000 7.9352
Rb Tm Bi S
2 2 1 6
direct
0.1657 0.8343 0.0000 Rb
0.8343 0.1657 0.0000 Rb
0.3330 0.6670 0.5000 Tm
0.6670 0.3330 0.5000 Tm
0.0000 0.0000 0.5000 Bi
0.0611 0.4005 0.6878 S
0.2760 0.2760 0.3120 S
0.4005 0.0611 0.6878 S
0.5995 0.9389 0.3122 S
0.7240 0.7240 0.6880 S
0.9389 0.5995 0.3122 S
```

Calculated values
Crystal system: monoclinic
Magnetic moment (μB per formula unit): 0.00
Symmetry: C2/m, No. 12
Final energy (eV per atom): -4.971

***

[5]
Density functional theory data (PBE) for a geometry-optimized Na2TeN structure.

Structure (POSCAR):
```
Na2TeN
1.0
-4.8773 4.8773 2.2881
4.8773 -4.8773 2.2881
4.8773 4.8773 -2.2881
Na Te N
4 2 2
direct
0.3750 0.1299 0.2549 Na
0.8701 0.1250 0.2451 Na
0.8750 0.1201 0.7451 Na
0.8799 0.6250 0.7549 Na
0.2500 0.7500 0.5000 Te
0.5000 0.5000 0.0000 Te
0.0000 0.0000 0.0000 N
0.7500 0.2500 0.5000 N
```

Calculated values
Crystal system: tetragonal
Magnetic moment (μB per formula unit): 0.97
Symmetry: I-42d, No. 122
Final energy (eV per atom): -3.360
Distance to the lowest polymorph of the same formula (eV per atom): 0.000

***

[6]
Density functional theory data (PBE) for a geometry-optimized Np2TeN2 structure.

Structure (POSCAR):
```
Np2TeN2
1.0
3.9598 0.0000 0.0000
0.0000 1.9511 6.5928
0.0000 -1.9511 6.5928
Np Te N
2 1 2
direct
0.0000 0.0000 0.0000 Np
0.5000 0.3323 0.3323 Np
0.5000 0.6392 0.6392 Te
0.0000 0.4067 0.4067 N
0.5000 0.9125 0.9125 N
```

Calculated values
Crystal system: orthorhombic
Magnetic moment (μB per formula unit): 0.33
Symmetry: Amm2, No. 38
Final energy (eV per atom): -10.189